Record 1
Density functional theory data (PBE) for Zr2IrBr after structural relaxation.

Unit cell a=14.9757 b=3.5572 c=3.5660 alpha=90.00 beta=90.06 gamma=90.00
Closest atoms and distances in Å follow each position.
Space group Cm (No. 8)
Asymmetric unit:
Zr (0.0000, 0.0000, 0.0000) (multiplicity 2)  2 Ir 2.64
Zr (0.1944, 0.0000, 0.5016) (multiplicity 2)  4 Ir 2.70, 1 Br 2.90
Ir (0.1303, 0.5000, 0.0012) (multiplicity 2)  6 Zr 2.64-2.70
Br (0.3881, 0.0000, 0.4995) (multiplicity 2)  5 Zr 2.90-3.03

Results
Formation energy (no corrections)   -573 meV per atom
Energy above the lowest structure with this stoichiometry   12.25 kJ per mole of atoms
Uncorrected energy   -7.481 eV/atom


Record 2
Density functional theory data (PBE) for Zr2IrBr after structural relaxation.

Unit cell a=3.1506 b=3.1506 c=7.8160 alpha=90.00 beta=90.00 gamma=90.00
Closest atoms and distances in Å follow each position.
Space group P4/mmm (No. 123)
Asymmetric unit:
Zr (0.0000, 0.0000, 0.2294) (multiplicity 2)  4 Ir 2.86, 4 Br 3.07, 4 Zr 3.15
Ir (0.5000, 0.5000, 0.0000) (multiplicity 1)  8 Zr 2.86, 4 Ir 3.15
Br (0.5000, 0.5000, 0.5000) (multiplicity 1)  8 Zr 3.07, 4 Br 3.15

Results
Formation energy (no corrections)   -538 meV per atom
Energy above the lowest structure with this stoichiometry   15.67 kJ per mole of atoms
Uncorrected energy   -7.445 eV/atom


Record 3
Density functional theory data (PBE) for ZrIr2Br after structural relaxation.

Unit cell a=6.5576 b=6.5576 c=6.5576 alpha=90.00 beta=90.00 gamma=90.00
Closest atoms and distances in Å follow each position.
Space group F-43m (No. 216)
Asymmetric unit:
Zr (0.0000, 0.0000, 0.0000) (multiplicity 4)  4 Br 2.84, 4 Ir 2.84
Ir (0.0000, 0.0000, 0.5000) (multiplicity 4)  4 Br 2.84, 4 Ir 2.84
Ir (0.2500, 0.2500, 0.7500) (multiplicity 4)  4 Zr 2.84, 4 Ir 2.84
Br (0.2500, 0.2500, 0.2500) (multiplicity 4)  4 Zr 2.84, 4 Ir 2.84

Results
Formation energy (no corrections)   271 meV per atom
Energy above the lowest structure with this stoichiometry   39.43 kJ per mole of atoms
Uncorrected energy   -6.714 eV/atom


Record 4
Density functional theory data (PBE) for Zr2IrBr after structural relaxation.

Unit cell a=6.7731 b=6.7731 c=6.7731 alpha=90.00 beta=90.00 gamma=90.00
Closest atoms and distances in Å follow each position.
Space group Fm-3m (No. 225)
Asymmetric unit:
Zr (0.2500, 0.2500, 0.2500) (multiplicity 8)  4 Br 2.93, 4 Ir 2.93
Ir (0.0000, 0.0000, 0.0000) (multiplicity 4)  8 Zr 2.93
Br (0.0000, 0.0000, 0.5000) (multiplicity 4)  8 Zr 2.93

Results
Formation energy (no corrections)   -277 meV per atom
Energy above the lowest structure with this stoichiometry   40.79 kJ per mole of atoms
Uncorrected energy   -7.185 eV/atom


Record 5
Density functional theory data (PBE) for K3Br after structural relaxation.

Unit cell a=5.9318 b=5.9522 c=11.6543 alpha=90.00 beta=90.00 gamma=90.00
Closest atoms and distances in Å follow each position.
Space group Cmmm (No. 65)
Asymmetric unit:
K (0.0000, 0.0000, 0.0000) (multiplicity 2)  4 K 4.20
K (0.0000, 0.5000, 0.3326) (multiplicity 4)  4 Br 3.55-3.56, 1 K 3.90
Br (0.0000, 0.0000, 0.5000) (multiplicity 2)  8 K 3.55-3.56

Results
Formation energy (no corrections)   -785 meV per atom
Energy above the lowest structure with this stoichiometry   3.91 kJ per mole of atoms
Uncorrected energy   -2.027 eV/atom


Record 6
Density functional theory data (PBE) for KBr3 after structural relaxation.

Unit cell a=9.2532 b=9.2532 c=5.5855 alpha=90.00 beta=90.00 gamma=120.00
Closest atoms and distances in Å follow each position.
Space group R-3m (No. 166, hexagonal axes)
Asymmetric unit:
K (0.0000, 0.0000, 0.0000) (multiplicity 3)  6 Br 3.26
Br (0.0000, 0.5000, 0.0000) (multiplicity 9)  4 Br 3.26, 2 K 3.26

Results
Formation energy (no corrections)   -629 meV per atom
Uncorrected energy   -2.158 eV/atom


Record 7
Density functional theory data (PBE) for K2Br after structural relaxation.

Unit cell a=10.5959 b=10.5959 c=10.5959 alpha=90.00 beta=90.00 gamma=90.00
Closest atoms and distances in Å follow each position.
Space group Fd-3m (No. 227, origin choice 2)
Asymmetric unit:
K (0.0000, 0.0000, 0.0000) (multiplicity 16)  6 K 3.75
Br (0.1250, 0.1250, 0.6250) (multiplicity 8)  12 K 4.39, 4 Br 4.59

Results
Formation energy (no corrections)   -586 meV per atom
Energy above the lowest structure with this stoichiometry   50.28 kJ per mole of atoms
Uncorrected energy   -1.875 eV/atom


Record 8
Density functional theory data (PBE) for K3Br after structural relaxation.

Unit cell a=6.5728 b=6.5728 c=6.5728 alpha=90.00 beta=90.00 gamma=90.00
Closest atoms and distances in Å follow each position.
Space group Pm-3m (No. 221)
Asymmetric unit:
K (0.0000, 0.0000, 0.5000) (multiplicity 3)  2 Br 3.29
Br (0.0000, 0.0000, 0.0000) (multiplicity 1)  6 K 3.29

Results
Formation energy (no corrections)   -708 meV per atom
Energy above the lowest structure with this stoichiometry   11.36 kJ per mole of atoms
Uncorrected energy   -1.949 eV/atom


Record 9
Density functional theory data (PBE) for KBr after structural relaxation.

Unit cell a=4.2660 b=14.1999 c=8.0475 alpha=90.00 beta=90.00 gamma=90.00
Closest atoms and distances in Å follow each position.
Space group Imm2 (No. 44)
Asymmetric unit:
K (0.0000, 0.0000, 0.0000) (multiplicity 2)  6 Br 3.38
K (0.0000, 0.1498, 0.5085) (multiplicity 4)  5 Br 3.20-3.35
Br (0.0000, 0.3470, 0.3174) (multiplicity 4)  5 K 3.20-3.38
Br (0.0000, 0.5000, 0.8253) (multiplicity 2)  6 K 3.35-3.38

Results
Formation energy (no corrections)   -1685 meV per atom
Uncorrected energy   -3.070 eV/atom


Record 10
Density functional theory data (PBE) for KBr after structural relaxation.

Unit cell a=6.6866 b=6.6866 c=6.6866 alpha=90.00 beta=90.00 gamma=90.00
Closest atoms and distances in Å follow each position.
Space group Fm-3m (No. 225)
Asymmetric unit:
K (0.0000, 0.0000, 0.0000) (multiplicity 4)  6 Br 3.34
Br (0.0000, 0.0000, 0.5000) (multiplicity 4)  6 K 3.34

Results
Formation energy (no corrections)   -1750 meV per atom
Uncorrected energy   -3.135 eV/atom


Record 11
Density functional theory data (PBE) for K2Br3 after structural relaxation.

Unit cell a=5.7224 b=5.7224 c=6.7545 alpha=90.00 beta=90.00 gamma=120.00
Closest atoms and distances in Å follow each position.
Space group P-3m1 (No. 164)
Asymmetric unit:
K (0.3333, 0.6667, 0.2806) (multiplicity 2)  8 Br 3.33-3.62
Br (0.0000, 0.0000, 0.5000) (multiplicity 1)  6 K 3.62, 6 Br 3.83
Br (0.3333, 0.6667, 0.7863) (multiplicity 2)  5 K 3.33-3.42

Results
Formation energy (no corrections)   -1219 meV per atom
Energy above the lowest structure with this stoichiometry   4.34 kJ per mole of atoms
Uncorrected energy   -2.662 eV/atom


Record 12
Density functional theory data (PBE) for KBr3 after structural relaxation.

Unit cell a=4.2966 b=4.2966 c=16.5589 alpha=90.00 beta=90.00 gamma=90.00
Closest atoms and distances in Å follow each position.
Space group I4/mmm (No. 139)
Asymmetric unit:
K (0.0000, 0.0000, 0.0000) (multiplicity 2)  4 Br 3.04
Br (0.0000, 0.0000, 0.5000) (multiplicity 2)  4 K 3.04
Br (0.0000, 0.5000, 0.2500) (multiplicity 4)  4 Br 3.04

Results
Formation energy (no corrections)   -641 meV per atom
Uncorrected energy   -2.170 eV/atom


Record 13
Density functional theory data (PBE) for K2Br after structural relaxation.

Unit cell a=4.1310 b=4.1310 c=15.8042 alpha=90.00 beta=90.00 gamma=90.00
Closest atoms and distances in Å follow each position.
Space group I4/mmm (No. 139)
Asymmetric unit:
K (0.0000, 0.0000, 0.1245) (multiplicity 4)  4 Br 3.52, 1 K 3.93
Br (0.0000, 0.0000, 0.5000) (multiplicity 2)  8 K 3.52

Results
Formation energy (no corrections)   -1071 meV per atom
Energy above the lowest structure with this stoichiometry   3.46 kJ per mole of atoms
Uncorrected energy   -2.360 eV/atom


Record 14
Density functional theory data (PBE) for KBr4 after structural relaxation.

Unit cell a=5.0857 b=8.1849 c=10.4190 alpha=100.19 beta=90.88 gamma=107.22
Closest atoms and distances in Å follow each position.
Space group P1 (No. 1)
Asymmetric unit:
K (0.0000, 0.0000, 0.0000) (multiplicity 1)  7 Br 3.31-3.62
K (0.3635, 0.3680, 0.5320) (multiplicity 1)  7 Br 3.32-3.63
Br (0.1814, 0.6845, 0.7644) (multiplicity 1)  2 Br 2.58
Br (0.3671, 0.7275, 0.0042) (multiplicity 1)  1 Br 2.58
Br (0.4984, 0.3807, 0.1430) (multiplicity 1)  1 Br 2.60
Br (0.6297, 0.2464, 0.8783) (multiplicity 1)  1 Br 2.47
Br (0.6841, 0.1831, 0.2662) (multiplicity 1)  2 Br 2.58-2.60
Br (0.7354, 0.1254, 0.6578) (multiplicity 1)  1 Br 2.47
Br (0.8681, 0.9868, 0.3884) (multiplicity 1)  1 Br 2.58
Br (0.9958, 0.6410, 0.5246) (multiplicity 1)  1 Br 2.58

Results
Formation energy (no corrections)   -707 meV per atom
Energy above the lowest structure with this stoichiometry   0.00 kJ per mole of atoms
Uncorrected energy   -2.265 eV/atom


Record 15
Density functional theory data (PBE) for KBr3 after structural relaxation.

Unit cell a=5.0262 b=5.0262 c=5.0262 alpha=90.00 beta=90.00 gamma=90.00
Closest atoms and distances in Å follow each position.
Space group Pm-3m (No. 221)
Asymmetric unit:
K (0.0000, 0.0000, 0.0000) (multiplicity 1)  12 Br 3.55
Br (0.0000, 0.5000, 0.5000) (multiplicity 3)  4 K 3.55, 8 Br 3.55

Results
Formation energy (no corrections)   -526 meV per atom
Uncorrected energy   -2.055 eV/atom


Record 16
Density functional theory data (PBE) for KBr after structural relaxation.

Unit cell a=10.1336 b=10.1336 c=10.1336 alpha=90.00 beta=90.00 gamma=90.00
Closest atoms and distances in Å follow each position.
Space group I-43m (No. 217)
Asymmetric unit:
K (0.1577, 0.1577, 0.1577) (multiplicity 8)  4 Br 3.17-3.24
Br (0.1618, 0.1618, 0.8382) (multiplicity 8)  4 K 3.17-3.24

Results
Formation energy (no corrections)   -1634 meV per atom
Uncorrected energy   -3.019 eV/atom


Record 17
Density functional theory data (PBE) for K2Br3 after structural relaxation.

Unit cell a=4.7676 b=8.7519 c=10.6167 alpha=86.52 beta=77.08 gamma=74.26
Closest atoms and distances in Å follow each position.
Space group P1 (No. 1)
Asymmetric unit:
K (0.0000, 0.0000, 0.0000) (multiplicity 1)  6 Br 3.28-3.43
K (0.0160, 0.9601, 0.4992) (multiplicity 1)  6 Br 3.28-3.44
K (0.1779, 0.4599, 0.1767) (multiplicity 1)  6 Br 3.28-3.44
K (0.6621, 0.5002, 0.6761) (multiplicity 1)  6 Br 3.28-3.43
Br (0.2420, 0.5657, 0.4577) (multiplicity 1)  1 Br 3.13, 4 K 3.28-3.35
Br (0.3430, 0.2303, 0.5882) (multiplicity 1)  2 Br 3.13, 4 K 3.40-3.44
Br (0.3622, 0.0656, 0.2186) (multiplicity 1)  1 Br 3.13, 4 K 3.28-3.35
Br (0.4426, 0.8942, 0.7176) (multiplicity 1)  1 Br 3.13, 4 K 3.28-3.35
Br (0.5934, 0.7301, 0.0880) (multiplicity 1)  2 Br 3.13, 4 K 3.40-3.44
Br (0.8219, 0.3939, 0.9586) (multiplicity 1)  1 Br 3.13, 4 K 3.28-3.35

Results
Formation energy (no corrections)   -1264 meV per atom
Energy above the lowest structure with this stoichiometry   0.00 kJ per mole of atoms
Uncorrected energy   -2.707 eV/atom


Record 18
Density functional theory data (PBE) for KBr6 after structural relaxation.

Unit cell a=8.5620 b=8.5620 c=8.5620 alpha=90.00 beta=90.00 gamma=90.00
Closest atoms and distances in Å follow each position.
Space group Im-3m (No. 229)
Asymmetric unit:
K (0.0000, 0.0000, 0.0000) (multiplicity 2)  24 Br 4.79
Br (0.0000, 0.2500, 0.5000) (multiplicity 12)  4 Br 3.03

Results
Formation energy (no corrections)   45 meV per atom
Uncorrected energy   -1.546 eV/atom


Record 19
Density functional theory data (PBE) for KBr after structural relaxation.

Unit cell a=5.5361 b=5.5361 c=24.1079 alpha=90.00 beta=90.00 gamma=120.00
Closest atoms and distances in Å follow each position.
Space group R-3m (No. 166, hexagonal axes)
Asymmetric unit:
K (0.0000, 0.0000, 0.2323) (multiplicity 6)  4 Br 3.20-3.29
Br (0.0000, 0.0000, 0.0956) (multiplicity 6)  4 K 3.20-3.29

Results
Formation energy (no corrections)   -1627 meV per atom
Uncorrected energy   -3.012 eV/atom


Record 20
Density functional theory data (PBE) for K2Br3 after structural relaxation.

Unit cell a=7.9201 b=7.9201 c=24.7767 alpha=90.00 beta=90.00 gamma=120.00
Closest atoms and distances in Å follow each position.
Space group R-3c (No. 167, hexagonal axes)
Asymmetric unit:
K (0.0000, 0.0000, 0.1467) (multiplicity 12)  6 Br 3.31-3.35
Br (0.0000, 0.2727, 0.2500) (multiplicity 18)  4 K 3.31-3.35

Results
Formation energy (no corrections)   -1179 meV per atom
Energy above the lowest structure with this stoichiometry   8.23 kJ per mole of atoms
Uncorrected energy   -2.622 eV/atom